Record 1
Computed, not measured: crystalline TlCoAg2 at its relaxed geometry at the GGA-PBEsol level of DFT.

Lattice parameters (Å, degrees): 4.5218 4.5218 4.5218 60.00 60.00 60.00
Closest atoms and distances in Å follow each position.
Fractional positions:
Tl1 0.0000 0.0000 0.0000  4 Co 2.77, 4 Ag 2.77
Co1 0.2500 0.2500 0.2500  4 Tl 2.77, 4 Ag 2.77
Ag1 0.5000 0.5000 0.5000  4 Co 2.77, 4 Ag 2.77
Ag2 0.7500 0.7500 0.7500  4 Tl 2.77, 4 Ag 2.77

- excess energy over the best structure of this formula in the dataset (meV/atom) = 17
- formation energy (meV/atom) = 392
- density of states at the Fermi level (states/eV per atom) = 1.22

***

Record 2
Computed, not measured: crystalline LiLa4Te at its relaxed geometry at the GGA-PBEsol level of DFT.

Lattice parameters (Å, degrees): 6.3993 6.3993 6.3993 60.00 60.00 60.00
Closest atoms and distances in Å follow each position.
Fractional positions:
Li1 0.0000 0.0000 0.0000  12 La 3.76, 4 Te 3.92
La1 0.1289 0.6237 0.6237  6 La 3.17-3.23
La2 0.6237 0.1289 0.6237  6 La 3.17-3.23
La3 0.6237 0.6237 0.1289  6 La 3.17-3.23
La4 0.6237 0.6237 0.6237  6 La 3.17-3.23
Te1 0.2500 0.2500 0.2500  12 La 3.75, 4 Li 3.92

- E_form (uncorrected) (eV per atom) = 0.057
- density of states at the Fermi level (states/eV per atom) = 1.49

***

Record 3
Computed, not measured: crystalline YZr2P at its relaxed geometry at the GGA-PBEsol level of DFT.

Lattice parameters (Å, degrees): 6.4397 6.4397 6.4397 149.33 139.92 51.30
Closest atoms and distances in Å follow each position.
Fractional positions:
Y1 0.0000 0.0000 0.0000  2 P 2.82, 2 Zr 3.13
Zr1 0.3091 0.8091 0.5000  4 P 2.79, 2 Zr 2.99
Zr2 0.6354 0.6354 0.0000  2 P 2.61
P1 0.8062 0.3062 0.5000  6 Zr 2.61-2.79, 2 Y 2.82

- formation energy (meV/atom) = -459
- density of states at the Fermi level (states/eV per atom) = 0.91

***

Record 4
Computed, not measured: crystalline ScIr3I at its relaxed geometry at the GGA-PBEsol level of DFT.

Lattice parameters (Å, degrees): 4.7866 4.7866 4.7866 90.00 90.00 90.00
Closest atoms and distances in Å follow each position.
Fractional positions:
Sc1 0.0000 0.0000 0.0000  12 Ir 3.38
Ir1 0.0000 0.5000 0.5000  2 I 2.39
Ir2 0.5000 0.0000 0.5000  2 I 2.39
Ir3 0.5000 0.5000 0.0000  2 I 2.39
I1 0.5000 0.5000 0.5000  6 Ir 2.39

- E_form (uncorrected) (eV per atom) = 1.469
- density of states at the Fermi level (states/eV per atom) = 1.63

***

Record 5
Computed, not measured: crystalline CaCuPO2 at its relaxed geometry at the GGA-PBEsol level of DFT.

Lattice parameters (Å, degrees): 3.9738 3.9738 4.2857 90.00 90.00 90.00
Closest atoms and distances in Å follow each position.
Fractional positions:
Ca1 0.0000 0.0000 0.0000  4 P 2.81, 8 O 2.92
Cu1 0.5000 0.5000 0.5000  4 O 1.99, 2 P 2.14
P1 0.5000 0.5000 0.0000  2 Cu 2.14
O1 0.0000 0.5000 0.5000  2 Cu 1.99
O2 0.5000 0.0000 0.5000  2 Cu 1.99

- E_form (uncorrected) (eV per atom) = -0.512
- density of states at the Fermi level (states/eV per atom) = 0.69

***

Record 6
Computed, not measured: crystalline Y2AgAuBr at its relaxed geometry at the GGA-PBEsol level of DFT.

Lattice parameters (Å, degrees): 5.3950 5.3950 5.0007 90.00 90.00 90.00
Closest atoms and distances in Å follow each position.
Fractional positions:
Y1 0.0000 0.5000 0.0000  2 Ag 2.70
Y2 0.5000 0.0000 0.0000  2 Ag 2.70
Ag1 0.0000 0.0000 0.0000  2 Au 2.50, 4 Y 2.70
Au1 0.0000 0.0000 0.5000  2 Ag 2.50
Br1 0.5000 0.5000 0.5000  8 Y 3.68, 4 Au 3.81

- E_form (uncorrected) (eV per atom) = -0.028
- density of states at the Fermi level (states/eV per atom) = 0.67

***

Record 7
Computed, not measured: crystalline Ag2HgAu2 at its relaxed geometry at the GGA-PBEsol level of DFT.

Lattice parameters (Å, degrees): 7.2761 7.2761 7.2761 149.84 149.84 43.17
Closest atoms and distances in Å follow each position.
Fractional positions:
Ag1 0.2500 0.7500 0.5000  4 Ag 2.68, 4 Au 2.79
Ag2 0.7500 0.2500 0.5000  4 Ag 2.68, 4 Au 2.79
Hg1 0.0000 0.0000 0.0000  8 Au 2.99
Au1 0.4014 0.4014 0.0000  1 Au 2.67, 4 Ag 2.79
Au2 0.5986 0.5986 0.0000  1 Au 2.67, 4 Ag 2.79

- excess energy over the best structure of this formula in the dataset (meV/atom) = 107
- formation energy (meV/atom) = 147
- density of states at the Fermi level (states/eV per atom) = 0.28

***

Record 8
Computed, not measured: crystalline CsSrZr2Sn at its relaxed geometry at the GGA-PBEsol level of DFT.

Lattice parameters (Å, degrees): 5.2521 5.2521 5.7377 90.00 90.00 90.00
Closest atoms and distances in Å follow each position.
Fractional positions:
Cs1 0.0000 0.0000 0.0000  4 Zr 2.63, 2 Sr 2.87
Sr1 0.0000 0.0000 0.5000  2 Cs 2.87
Zr1 0.0000 0.5000 0.0000  2 Cs 2.63
Zr2 0.5000 0.0000 0.0000  2 Cs 2.63
Sn1 0.5000 0.5000 0.5000  4 Sr 3.71, 8 Zr 3.89

- formation energy (meV/atom) = 1485
- density of states at the Fermi level (states/eV per atom) = 1.36

***

Record 9
Computed, not measured: crystalline LiRe2SnAs at its relaxed geometry at the GGA-PBEsol level of DFT.

Lattice parameters (Å, degrees): 4.5960 4.5960 4.1933 90.00 90.00 90.00
Closest atoms and distances in Å follow each position.
Fractional positions:
Li1 0.0000 0.0000 0.0000  2 As 2.10
Re1 0.0000 0.5000 0.5000  2 As 2.30
Re2 0.5000 0.0000 0.5000  2 As 2.30
Sn1 0.5000 0.5000 0.0000  8 Re 3.11, 4 Li 3.25
As1 0.0000 0.0000 0.5000  2 Li 2.10, 4 Re 2.30

- formation energy (meV/atom) = 897
- density of states at the Fermi level (states/eV per atom) = 0.88

***

Record 10
Computed, not measured: crystalline ScTa2Ag at its relaxed geometry at the GGA-PBEsol level of DFT.

Lattice parameters (Å, degrees): 2.8910 2.8910 8.6806 90.00 90.00 90.00
Closest atoms and distances in Å follow each position.
Fractional positions:
Sc1 0.0000 0.0000 0.0000  4 Sc 2.89, 8 Ta 3.03
Ta1 0.5000 0.5000 0.2575  4 Ta 2.89, 4 Ag 2.93, 4 Sc 3.03
Ta2 0.5000 0.5000 0.7425  4 Ta 2.89, 4 Ag 2.93, 4 Sc 3.03
Ag1 0.0000 0.0000 0.5000  4 Ag 2.89, 8 Ta 2.93

- excess energy over the best structure of this formula in the dataset (meV/atom) = 123
- formation energy (meV/atom) = 250
- density of states at the Fermi level (states/eV per atom) = 0.80

***

Record 11
Computed, not measured: crystalline TeAuCl7 at its relaxed geometry at the GGA-PBEsol level of DFT.

Lattice parameters (Å, degrees): 7.5244 8.1530 8.9041 78.87 85.06 85.81
Closest atoms and distances in Å follow each position.
Fractional positions:
Te1 0.2034 0.2704 0.2691  3 Cl 2.34-2.35
Te2 0.7966 0.7296 0.7309  3 Cl 2.34-2.35
Au1 0.4126 0.6943 0.0653  4 Cl 2.28-2.29
Au2 0.5874 0.3057 0.9347  4 Cl 2.28-2.29
Cl1 0.0749 0.6409 0.6257  1 Te 2.34
Cl2 0.1094 0.0058 0.2560  1 Te 2.35
Cl3 0.1225 0.6375 0.0514  1 Au 2.28
Cl4 0.2957 0.2563 0.9184  1 Au 2.28
Cl5 0.3098 0.1744 0.5118  1 Te 2.34
Cl6 0.3935 0.5556 0.3143  1 Au 2.28
Cl7 0.4321 0.8311 0.8155  1 Au 2.29
Cl8 0.5679 0.1689 0.1845  1 Au 2.29
Cl9 0.6065 0.4444 0.6857  1 Au 2.28
Cl10 0.6902 0.8256 0.4882  1 Te 2.34
Cl11 0.7043 0.7437 0.0816  1 Au 2.28
Cl12 0.8775 0.3625 0.9486  1 Au 2.28
Cl13 0.8906 0.9942 0.7440  1 Te 2.35
Cl14 0.9251 0.3591 0.3743  1 Te 2.34

- E_form (uncorrected) (eV per atom) = -0.454

***

Record 12
Computed, not measured: crystalline KInFe2 at its relaxed geometry at the GGA-PBEsol level of DFT.

Lattice parameters (Å, degrees): 2.8527 4.2033 7.1557 90.00 90.00 90.00
Closest atoms and distances in Å follow each position.
Fractional positions:
K1 0.0000 0.0000 0.0000  2 K 2.85
In1 0.0000 0.0000 0.5000  8 Fe 2.76, 2 In 2.85
Fe1 0.5000 0.5000 0.3496  1 Fe 2.15
Fe2 0.5000 0.5000 0.6504  1 Fe 2.15

- formation energy (meV/atom) = 707
- density of states at the Fermi level (states/eV per atom) = 0.86

***

Record 13
Computed, not measured: crystalline VCuO4 at its relaxed geometry at the GGA-PBEsol level of DFT.

Lattice parameters (Å, degrees): 5.5974 5.5974 5.5974 120.00 113.89 95.45
Closest atoms and distances in Å follow each position.
Fractional positions:
V1 0.4634 0.2134 0.2500  2 O 1.67
V2 0.5366 0.7866 0.7500  2 O 1.67
Cu1 0.0000 0.0000 0.5000  4 O 1.84
Cu2 0.0000 0.5000 0.0000  4 O 1.84
O1 0.1731 0.7299 0.4432  2 Cu 1.84, 1 V 1.92
O2 0.2133 0.2701 0.9432  2 Cu 1.84, 1 V 1.92
O3 0.3320 0.3235 0.4915  1 V 1.67
O4 0.3320 0.8406 0.0085  1 V 1.67
O5 0.6680 0.1594 0.9915  1 V 1.67
O6 0.6680 0.6765 0.5085  1 V 1.67
O7 0.7867 0.7299 0.0568  2 Cu 1.84, 1 V 1.92
O8 0.8269 0.2701 0.5568  2 Cu 1.84, 1 V 1.92

- E_form (uncorrected) (eV per atom) = -1.462
- density of states at the Fermi level (states/eV per atom) = 0.05

***

Record 14
Computed, not measured: crystalline BeSb2P2 at its relaxed geometry at the GGA-PBEsol level of DFT.

Lattice parameters (Å, degrees): 5.2467 5.2467 5.2467 116.89 116.89 95.48
Closest atoms and distances in Å follow each position.
Fractional positions:
Be1 0.0000 0.0000 0.0000  2 P 2.03
Sb1 0.2500 0.7500 0.5000  4 P 2.76
Sb2 0.7500 0.2500 0.5000  4 P 2.76
P1 0.2881 0.2881 0.0000  1 Be 2.03
P2 0.7119 0.7119 0.0000  1 Be 2.03

- E_form (uncorrected) (eV per atom) = 0.263
- density of states at the Fermi level (states/eV per atom) = 0.29

***

Record 15
Computed, not measured: crystalline RuIOF2 at its relaxed geometry at the GGA-PBEsol level of DFT.

Lattice parameters (Å, degrees): 4.7827 4.7827 3.9693 90.00 90.00 90.00
Closest atoms and distances in Å follow each position.
Fractional positions:
Ru1 0.0000 0.0000 0.0000  8 F 3.11, 4 O 3.38
I1 0.5000 0.5000 0.5000  2 O 1.98
O1 0.5000 0.5000 0.0000  2 I 1.98
F1 0.0000 0.5000 0.5000  2 I 2.39
F2 0.5000 0.0000 0.5000  2 I 2.39

- E_form (uncorrected) (eV per atom) = 0.517
- density of states at the Fermi level (states/eV per atom) = 0.80

***

Record 16
Computed, not measured: crystalline BeSi2Pd2 at its relaxed geometry at the GGA-PBEsol level of DFT.

Lattice parameters (Å, degrees): 6.0719 6.0719 3.7766 90.00 90.00 90.00
Closest atoms and distances in Å follow each position.
Fractional positions:
Be1 0.0000 0.0000 0.0000  4 Pd 2.27
Be2 0.5000 0.5000 0.0000  4 Pd 2.27
Si1 0.1471 0.3529 0.5000  6 Pd 2.48-2.68, 1 Si 2.53
Si2 0.3529 0.8529 0.5000  6 Pd 2.48-2.68, 1 Si 2.53
Si3 0.6471 0.1471 0.5000  6 Pd 2.48-2.68, 1 Si 2.53
Si4 0.8529 0.6471 0.5000  6 Pd 2.48-2.68, 1 Si 2.53
Pd1 0.1652 0.6652 0.0000  2 Be 2.27, 2 Si 2.48
Pd2 0.3348 0.1652 0.0000  2 Be 2.27, 2 Si 2.48
Pd3 0.6652 0.8348 0.0000  2 Be 2.27, 2 Si 2.48
Pd4 0.8348 0.3348 0.0000  2 Be 2.27, 2 Si 2.48

- E_form (uncorrected) (eV per atom) = -0.153
- density of states at the Fermi level (states/eV per atom) = 0.38

***

Record 17
Computed, not measured: crystalline Sr2FeI2 at its relaxed geometry at the GGA-PBEsol level of DFT.

Lattice parameters (Å, degrees): 8.5901 8.5901 8.5901 144.66 144.66 50.84
Closest atoms and distances in Å follow each position.
Fractional positions:
Sr1 0.1228 0.1228 0.0000  4 I 3.27
Sr2 0.8772 0.8772 0.0000  4 I 3.27
Fe1 0.5000 0.5000 0.0000  8 Sr 4.15
I1 0.2500 0.7500 0.5000  4 Sr 3.27
I2 0.7500 0.2500 0.5000  4 Sr 3.27

- E_form (uncorrected) (eV per atom) = -0.063
- density of states at the Fermi level (states/eV per atom) = 2.33

***

Record 18
Computed, not measured: crystalline ScBe2Si at its relaxed geometry at the GGA-PBEsol level of DFT.

Lattice parameters (Å, degrees): 8.4942 8.4942 8.4942 18.48 18.48 18.48
Closest atoms and distances in Å follow each position.
Fractional positions:
Sc1 0.0000 0.0000 0.0000  6 Sc 2.73, 6 Be 2.82
Be1 0.2400 0.2400 0.2400  3 Si 2.42
Be2 0.7600 0.7600 0.7600  3 Si 2.42
Si1 0.5000 0.5000 0.5000  6 Be 2.42

- E_form (uncorrected) (eV per atom) = 0.430
- density of states at the Fermi level (states/eV per atom) = 0.65

***

Record 19
Computed, not measured: crystalline La2BiH2 at its relaxed geometry at the GGA-PBEsol level of DFT.

Lattice parameters (Å, degrees): 5.7900 5.7900 5.7900 130.87 130.87 72.02
Closest atoms and distances in Å follow each position.
Fractional positions:
La1 0.2500 0.7500 0.5000  4 H 2.49
La2 0.7500 0.2500 0.5000  4 H 2.49
Bi1 0.0000 0.0000 0.0000  2 H 2.99
H1 0.3190 0.3190 0.0000  4 La 2.49
H2 0.6810 0.6810 0.0000  4 La 2.49

- density of states at the Fermi level (states/eV per atom) = 0.48

***

Record 20
Computed, not measured: crystalline LiMnBO3 at its relaxed geometry at the GGA-PBEsol level of DFT.

Lattice parameters (Å, degrees): 5.1511 5.1866 5.8726 90.28 114.01 119.46
Closest atoms and distances in Å follow each position.
Fractional positions:
Li1 0.0536 0.1219 0.3172  4 O 1.91-2.03
Li2 0.9464 0.8781 0.6828  4 O 1.91-2.03
Mn1 0.3415 0.7504 0.2393  4 O 2.03-2.16
Mn2 0.6585 0.2496 0.7607  4 O 2.03-2.16
B1 0.3128 0.5761 0.7395  3 O 1.38-1.40
B2 0.6872 0.4239 0.2605  3 O 1.38-1.40
O1 0.1196 0.6266 0.8232  1 B 1.40
O2 0.2625 0.2893 0.7033  1 B 1.38
O3 0.4553 0.1861 0.3163  1 B 1.39
O4 0.5447 0.8139 0.6837  1 B 1.39
O5 0.7375 0.7107 0.2967  1 B 1.38
O6 0.8804 0.3734 0.1768  1 B 1.40

- excess energy over the best structure of this formula in the dataset (meV/atom) = 2
- E_form (uncorrected) (eV per atom) = -1.995
- density of states at the Fermi level (states/eV per atom) = 0.00

***

Number 1: calculated total energy -3.86 eV/atom. Number 2: calculated total energy -4.42 eV/atom. Number 3: calculated total energy -8.16 eV/atom. Number 4: calculated total energy -6.10 eV/atom. Number 5: calculated total energy -5.06 eV/atom. Number 6: calculated total energy -4.58 eV/atom. Number 7: calculated total energy -2.86 eV/atom. Number 8: calculated total energy -3.56 eV/atom. Number 9: calculated total energy -6.70 eV/atom. Number 10: calculated total energy -8.50 eV/atom. Number 11: calculated total energy -2.84 eV/atom. Number 12: calculated total energy -4.80 eV/atom. Number 13: calculated total energy -7.29 eV/atom. Number 14: calculated total energy -4.68 eV/atom. Number 15: calculated total energy -3.69 eV/atom. Number 16: calculated total energy -5.64 eV/atom. Number 17: calculated total energy -3.30 eV/atom. Number 18: calculated total energy -4.66 eV/atom. Number 19: calculated total energy -4.90 eV/atom. Number 20: calculated total energy -7.74 eV/atom.